(1)
Compound: Ca2TaMn
Source: the Alexandria database
Functional: GGA-PBE
Structure: optimized geometry

Cell lengths 6.0544, 6.0544, 6.0544 Å; angles 147.84, 125.85, 64.39 degrees
Sites, in units of the cell vectors:
Ca 0.0126 0.0126 0.0000
Ca 0.7115 0.2115 0.5000
Mn 0.4651 0.4651 0.0000
Ta 0.3108 0.8108 0.5000

Calculated values
Energy above the most stable polymorph in this dataset, meV/atom: 222.1
Volume, A^3/atom: 23.67
Space group: Imm2, No. 44
Formation energy from the elements, eV per atom: 0.53
Total magnetic moment, μB per cell: 0.0

(2)
Compound: SrBeCo3
Source: the Alexandria database
Functional: GGA-PBE
Structure: optimized geometry

Cell lengths 4.6433, 4.6433, 4.6433 Å; angles 90.00, 90.00, 90.00 degrees
Each line ends with the local moment (μB).
Sites, in units of the cell vectors:
Sr 0.0000 0.0000 0.0000  -0.12
Co 0.0000 0.5000 0.0000  1.24
Co 0.0000 0.0000 0.5000  1.15
Co 0.5000 0.0000 0.0000  1.41
Be 0.5000 0.5000 0.5000  -0.02

Calculated values
Energy above the most stable polymorph in this dataset, meV/atom: 1973.1
Volume, A^3/atom: 20.02
Space group: Pm-3m, No. 221
Formation energy from the elements, eV per atom: 2.48
Total magnetic moment, μB per cell: 3.4

(3)
Compound: KP2RuO
Source: the Alexandria database
Functional: GGA-PBE
Structure: optimized geometry

Cell lengths 4.9236, 4.9236, 3.8167 Å; angles 90.00, 90.00, 90.00 degrees
Sites, in units of the cell vectors:
Ru 0.0000 0.0000 0.0000
K 0.5000 0.5000 0.5000
O 0.0000 0.0000 0.5000
P 0.0000 0.5000 0.0000
P 0.5000 0.0000 0.0000

Calculated values
Energy above the most stable polymorph in this dataset, meV/atom: 0.0
Volume, A^3/atom: 18.50
Space group: P4/mmm, No. 123
Raw formation energy, meV per atom: 53
Total magnetic moment, μB per cell: 0.0